No. 1
This record from the Alexandria database describes a relaxed TiTlWO5F crystal. The functional is PBE with a Hubbard U.

The structure in CIF format:
```
data_TiTlWO5F
_symmetry_space_group_name_H-M 'I m a 2'
_symmetry_Int_Tables_number 46
_symmetry_space_group_name_Hall 'I 2 -2a'
_cell_length_a 7.368
_cell_length_b 10.229
_cell_length_c 7.513
_cell_angle_alpha 90.00
_cell_angle_beta 90.00
_cell_angle_gamma 90.00
loop_
_atom_site_label
_atom_site_type_symbol
_atom_site_fract_x
_atom_site_fract_y
_atom_site_fract_z
Ti1 Ti 0.250 0.237 0.000
Tl1 Tl 0.250 0.644 0.646
W1 W 0.000 0.000 0.739
O1 O 0.066 0.123 0.940
O2 O 0.067 0.128 0.576
O3 O 0.250 0.567 0.258
F1 F 0.250 0.180 0.258
```

Summary:
- V (Å³/f.u.) = 141.55
- calculated density (g/cm3) = 6.28
- size of the total moment (μB/atom) = 0.00
- density of states at the Fermi level (states/eV/f.u.) = 0.0
- VASP energy (eV/atom) = -7.2022

No. 2
This record from the Alexandria database describes a relaxed TiVOF2 crystal. The functional is PBE with a Hubbard U.

The structure in CIF format:
```
data_TiVOF2
_symmetry_space_group_name_H-M 'P 4/m m m'
_symmetry_Int_Tables_number 123
_symmetry_space_group_name_Hall '-P 4 2'
_cell_length_a 4.077
_cell_length_b 4.077
_cell_length_c 3.916
_cell_angle_alpha 90.00
_cell_angle_beta 90.00
_cell_angle_gamma 90.00
loop_
_atom_site_label
_atom_site_type_symbol
_atom_site_fract_x
_atom_site_fract_y
_atom_site_fract_z
Ti1 Ti 0.000 0.000 0.000
V1 V 0.500 0.500 0.500
O1 O 0.000 0.000 0.500
F1 F 0.000 0.500 0.000
```

Summary:
- V (Å³/f.u.) = 65.10
- calculated density (g/cm3) = 3.90
- size of the total moment (μB/atom) = 1.00
- distance to the lowest polymorph of the same formula (kJ/mol of formula units) = 0
- density of states at the Fermi level (states/eV/f.u.) = 2.4
- VASP energy (eV/atom) = -6.7398

No. 3
This record from the Alexandria database describes a relaxed TiVOF2 crystal. The functional is PBE with a Hubbard U.

The structure in CIF format:
```
data_TiVOF2
_symmetry_space_group_name_H-M 'P 4/m m m'
_symmetry_Int_Tables_number 123
_symmetry_space_group_name_Hall '-P 4 2'
_cell_length_a 4.008
_cell_length_b 4.008
_cell_length_c 4.066
_cell_angle_alpha 90.00
_cell_angle_beta 90.00
_cell_angle_gamma 90.00
loop_
_atom_site_label
_atom_site_type_symbol
_atom_site_fract_x
_atom_site_fract_y
_atom_site_fract_z
Ti1 Ti 0.000 0.000 0.000
V1 V 0.500 0.500 0.500
O1 O 0.500 0.500 0.000
F1 F 0.000 0.500 0.500
```

Summary:
- V (Å³/f.u.) = 65.32
- calculated density (g/cm3) = 3.88
- size of the total moment (μB/atom) = 1.00
- distance to the lowest polymorph of the same formula (kJ/mol of formula units) = 134
- density of states at the Fermi level (states/eV/f.u.) = 1.9
- VASP energy (eV/atom) = -6.4619

No. 4
This record from the Alexandria database describes a relaxed TiVO2F crystal. The functional is PBE with a Hubbard U.

The structure in CIF format:
```
data_TiVO2F
_symmetry_space_group_name_H-M 'P 4/m m m'
_symmetry_Int_Tables_number 123
_symmetry_space_group_name_Hall '-P 4 2'
_cell_length_a 3.945
_cell_length_b 3.945
_cell_length_c 3.854
_cell_angle_alpha 90.00
_cell_angle_beta 90.00
_cell_angle_gamma 90.00
loop_
_atom_site_label
_atom_site_type_symbol
_atom_site_fract_x
_atom_site_fract_y
_atom_site_fract_z
Ti1 Ti 0.000 0.000 0.000
V1 V 0.500 0.500 0.500
O1 O 0.000 0.500 0.500
F1 F 0.500 0.500 0.000
```

Summary:
- V (Å³/f.u.) = 59.97
- calculated density (g/cm3) = 4.15
- size of the total moment (μB/atom) = 0.80
- density of states at the Fermi level (states/eV/f.u.) = 2.9
- VASP energy (eV/atom) = -7.1047

> The highest VASP energy belongs to which entry?

number 3

Please write out number 4 again, unchanged.
This record from the Alexandria database describes a relaxed TiVO2F crystal. The functional is PBE with a Hubbard U.

The structure in CIF format:
```
data_TiVO2F
_symmetry_space_group_name_H-M 'P 4/m m m'
_symmetry_Int_Tables_number 123
_symmetry_space_group_name_Hall '-P 4 2'
_cell_length_a 3.945
_cell_length_b 3.945
_cell_length_c 3.854
_cell_angle_alpha 90.00
_cell_angle_beta 90.00
_cell_angle_gamma 90.00
loop_
_atom_site_label
_atom_site_type_symbol
_atom_site_fract_x
_atom_site_fract_y
_atom_site_fract_z
Ti1 Ti 0.000 0.000 0.000
V1 V 0.500 0.500 0.500
O1 O 0.000 0.500 0.500
F1 F 0.500 0.500 0.000
```

Summary:
- V (Å³/f.u.) = 59.97
- calculated density (g/cm3) = 4.15
- size of the total moment (μB/atom) = 0.80
- density of states at the Fermi level (states/eV/f.u.) = 2.9
- VASP energy (eV/atom) = -7.1047

Repeat the third record exactly.
This record from the Alexandria database describes a relaxed TiVOF2 crystal. The functional is PBE with a Hubbard U.

The structure in CIF format:
```
data_TiVOF2
_symmetry_space_group_name_H-M 'P 4/m m m'
_symmetry_Int_Tables_number 123
_symmetry_space_group_name_Hall '-P 4 2'
_cell_length_a 4.008
_cell_length_b 4.008
_cell_length_c 4.066
_cell_angle_alpha 90.00
_cell_angle_beta 90.00
_cell_angle_gamma 90.00
loop_
_atom_site_label
_atom_site_type_symbol
_atom_site_fract_x
_atom_site_fract_y
_atom_site_fract_z
Ti1 Ti 0.000 0.000 0.000
V1 V 0.500 0.500 0.500
O1 O 0.500 0.500 0.000
F1 F 0.000 0.500 0.500
```

Summary:
- V (Å³/f.u.) = 65.32
- calculated density (g/cm3) = 3.88
- size of the total moment (μB/atom) = 1.00
- distance to the lowest polymorph of the same formula (kJ/mol of formula units) = 134
- density of states at the Fermi level (states/eV/f.u.) = 1.9
- VASP energy (eV/atom) = -6.4619